No. 1
This record from the Alexandria database describes crystalline Ca3Tl3Rh2 at its relaxed geometry. The functional is PBE.

* DFT formation energy: -355 meV per atom
* space-group type: Cmcm
* crystal system: orthorhombic
* magnetic moment: 0.00 μB/cell

Lattice parameters (Å, degrees): 6.0034 6.0034 16.7970 90.00 90.00 138.09
With the nearest neighbours (Å) after each atom.
Positions (direct):
Ca 0.0646 0.9354 0.6080  3 Rh 3.15-3.31, 7 Tl 3.28-3.51
Ca 0.0646 0.9354 0.8920  3 Rh 3.15-3.31, 7 Tl 3.28-3.51
Ca 0.3418 0.6582 0.7500  3 Tl 3.18-3.24, 4 Rh 3.19
Ca 0.6582 0.3418 0.2500  3 Tl 3.18-3.24, 4 Rh 3.19
Ca 0.9354 0.0646 0.1080  3 Rh 3.15-3.31, 7 Tl 3.28-3.51
Ca 0.9354 0.0646 0.3920  3 Rh 3.15-3.31, 7 Tl 3.28-3.51
Tl 0.3578 0.6422 0.5348  3 Rh 2.75-2.93
Tl 0.3578 0.6422 0.9652  3 Rh 2.75-2.93
Tl 0.3743 0.6257 0.2500  2 Rh 2.74
Tl 0.6257 0.3743 0.7500  2 Rh 2.74
Tl 0.6422 0.3578 0.0348  3 Rh 2.75-2.93
Tl 0.6422 0.3578 0.4652  3 Rh 2.75-2.93
Rh 0.2306 0.7694 0.1178  4 Tl 2.74-2.93
Rh 0.2306 0.7694 0.3822  4 Tl 2.74-2.93
Rh 0.7694 0.2306 0.6178  4 Tl 2.74-2.93
Rh 0.7694 0.2306 0.8822  4 Tl 2.74-2.93

No. 2
This record from the Alexandria database describes crystalline La2OsPbW at its relaxed geometry. The functional is PBE.

* DFT formation energy: 893 meV per atom
* space-group type: P4/mmm
* crystal system: tetragonal
* energy above the most stable polymorph in this dataset: 0.00 eV per formula unit
* magnetic moment: 4.38 μB/cell

Lattice parameters (Å, degrees): 5.4937 5.4937 5.2296 90.00 90.00 90.00
With the nearest neighbours (Å) after each atom.
Positions (direct):
La 0.0000 0.5000 0.0000  2 Os 2.75
La 0.5000 0.0000 0.0000  2 Os 2.75
Os 0.0000 0.0000 0.0000  2 Pb 2.61, 4 La 2.75
Pb 0.0000 0.0000 0.5000  2 Os 2.61
W 0.5000 0.5000 0.5000  8 La 3.79, 4 Pb 3.88

No. 3
This record from the Alexandria database describes crystalline Sm4CdCu at its relaxed geometry. The functional is PBE.

* DFT formation energy: -135 meV per atom
* space-group type: P4/mmm
* crystal system: tetragonal
* energy above the most stable polymorph in this dataset: 0.00 eV per formula unit
* magnetic moment: 0.55 μB/cell

Lattice parameters (Å, degrees): 3.6245 3.6245 12.8464 90.00 90.00 90.00
With the nearest neighbours (Å) after each atom.
Positions (direct):
Sm 0.0000 0.0000 0.1333  4 Cu 3.08, 1 Sm 3.43
Sm 0.0000 0.0000 0.8667  4 Cu 3.08, 1 Sm 3.43
Sm 0.5000 0.5000 0.3371  4 Cd 3.31, 8 Sm 3.62-3.66
Sm 0.5000 0.5000 0.6629  4 Cd 3.31, 8 Sm 3.62-3.66
Cd 0.0000 0.0000 0.5000  8 Sm 3.31, 4 Cd 3.62
Cu 0.5000 0.5000 0.0000  8 Sm 3.08

No. 4
This record from the Alexandria database describes crystalline Tb2UGe3Ir4 at its relaxed geometry. The functional is PBE.

* DFT formation energy: -697 meV per atom
* space-group type: P-4m2
* crystal system: tetragonal
* magnetic moment: 1.86 μB/cell

Lattice parameters (Å, degrees): 4.2072 4.2072 11.0013 90.00 90.00 90.00
With the nearest neighbours (Å) after each atom.
Positions (direct):
Tb 0.0000 0.5000 0.2235  4 Ge 3.17, 8 Ir 3.24-3.27
Tb 0.5000 0.0000 0.7765  4 Ge 3.17, 8 Ir 3.24-3.27
U 0.0000 0.0000 0.5000  4 Ir 2.69, 4 Ge 2.97
Ge 0.0000 0.5000 0.8749  5 Ir 2.45-2.51
Ge 0.5000 0.0000 0.1251  5 Ir 2.45-2.51
Ge 0.5000 0.5000 0.5000  4 Ir 2.69, 4 U 2.97
Ir 0.0000 0.0000 0.0000  4 Ge 2.51
Ir 0.0000 0.5000 0.6522  3 Ge 2.45-2.69, 2 U 2.69
Ir 0.5000 0.0000 0.3478  3 Ge 2.45-2.69, 2 U 2.69
Ir 0.5000 0.5000 0.0000  4 Ge 2.51

No. 5
This record from the Alexandria database describes crystalline SrAcGe2 at its relaxed geometry. The functional is PBE.

* DFT formation energy: -642 meV per atom
* space-group type: Pmc2_1
* crystal system: orthorhombic
* magnetic moment: 0.81 μB/cell

Lattice parameters (Å, degrees): 4.2521 6.2816 8.8731 90.00 90.00 90.00
With the nearest neighbours (Å) after each atom.
Positions (direct):
Sr 0.0000 0.1347 0.0000  7 Ge 3.30-3.49
Sr 0.0000 0.8653 0.5000  7 Ge 3.30-3.49
Ac 0.5000 0.3599 0.6373  7 Ge 3.30-3.46
Ac 0.5000 0.6401 0.1373  7 Ge 3.30-3.46
Ge 0.0000 0.3789 0.3534  2 Ge 2.70
Ge 0.0000 0.6211 0.8534  2 Ge 2.70
Ge 0.5000 0.1313 0.2868  2 Ge 2.70
Ge 0.5000 0.8687 0.7868  2 Ge 2.70

No. 6
This record from the Alexandria database describes crystalline MgGa2Pd2 at its relaxed geometry. The functional is PBE.

* DFT formation energy: -491 meV per atom
* space-group type: I4/mmm
* crystal system: tetragonal
* energy above the most stable polymorph in this dataset: 0.51 eV per formula unit
* magnetic moment: 0.00 μB/cell

Lattice parameters (Å, degrees): 6.8091 6.8091 6.8091 148.14 148.14 45.68
With the nearest neighbours (Å) after each atom.
Positions (direct):
Mg 0.0000 0.0000 0.0000  8 Pd 2.97
Ga 0.2500 0.7500 0.5000  4 Pd 2.58, 4 Ga 2.64
Ga 0.7500 0.2500 0.5000  4 Pd 2.58, 4 Ga 2.64
Pd 0.3916 0.3916 0.0000  4 Ga 2.58, 1 Pd 2.72
Pd 0.6084 0.6084 0.0000  4 Ga 2.58, 1 Pd 2.72

| no. | E_tot (eV per atom) |
| --- | --- |
| 1 | -3.831 |
| 2 | -6.657 |
| 3 | -4.116 |
| 4 | -7.682 |
| 5 | -4.398 |
| 6 | -4.098 |